VASP calculation (PBE) on a relaxed structure of VZn4Pt5.

Cell: 2.8396 2.8396 18.0866 Å, 90.00 90.00 90.00°
Closest atoms and distances in Å follow each position.
Atoms (fractional coordinates):
Zn 0.0000 0.0000 0.7972  8 Pt 2.69-2.75, 4 Zn 2.84
Zn 0.0000 0.0000 0.2028  8 Pt 2.69-2.75, 4 Zn 2.84
Zn 0.0000 0.0000 0.4005  8 Pt 2.69-2.70, 4 Zn 2.84
Zn 0.0000 0.0000 0.5995  8 Pt 2.69-2.70, 4 Zn 2.84
Pt 0.5000 0.5000 0.3014  8 Zn 2.69, 4 Pt 2.84
Pt 0.5000 0.5000 0.6986  8 Zn 2.69, 4 Pt 2.84
Pt 0.5000 0.5000 0.5000  8 Zn 2.70, 4 Pt 2.84
Pt 0.5000 0.5000 0.9011  4 V 2.69, 4 Zn 2.75, 4 Pt 2.84
Pt 0.5000 0.5000 0.0989  4 V 2.69, 4 Zn 2.75, 4 Pt 2.84
V 0.0000 0.0000 0.0000  8 Pt 2.69, 4 V 2.84

Values from the calculation:
Magnetization in Bohr magnetons per cell: 0.00
Symmetry: P4/mmm, No. 123
DFT formation energy in eV/f.u.: -5.61
Fermi-level density of states in states/eV/f.u.: 3.60